Compound: SmSc3Rh
Source: the Alexandria database
Functional: PBE
Structure: relaxed

Values from the calculation:
SG: Pm-3m (221)
Crystal system: cubic
Volume, Å³ per atom: 26.25
Total energy, Ha/atom: -0.238
Energy relative to the elements, meV/atom: -276
Total moment, μB/f.u.: 0.0

Cell: 5.0819 5.0819 5.0819 Å, 90.00 90.00 90.00°
Sites, in units of the cell vectors:
Sc1 0.0000 0.5000 0.0000
Sc2 0.5000 0.0000 0.0000
Sc3 0.0000 0.0000 0.5000
Rh1 0.0000 0.0000 0.0000
Sm1 0.5000 0.5000 0.5000

Compound: SmScRh2
Source: the Alexandria database
Functional: PBE
Structure: relaxed

Values from the calculation:
SG: P4/mmm (123)
Crystal system: tetragonal
Volume, Å³ per atom: 19.04
Total energy, Ha/atom: -0.267
Energy relative to the elements, meV/atom: -829
Total moment, μB/f.u.: 0.0

Cell: 3.2967 3.2967 7.0077 Å, 90.00 90.00 90.00°
Sites, in units of the cell vectors:
Sm1 0.5000 0.5000 0.5000
Rh1 0.0000 0.0000 0.7753
Rh2 0.0000 0.0000 0.2247
Sc1 0.5000 0.5000 0.0000

Compound: Sm2ScRh
Source: the Alexandria database
Functional: PBE
Structure: relaxed

Values from the calculation:
SG: P4/mmm (123)
Crystal system: tetragonal
Relative energy among the computed polymorphs, kJ/mol of formula units: 39
Volume, Å³ per atom: 25.72
Total energy, Ha/atom: -0.223
Energy relative to the elements, meV/atom: -283
Total moment, μB/f.u.: 1.3

Cell: 3.5859 3.5859 8.0019 Å, 90.00 90.00 90.00°
Each line ends with the local moment (μB).
Sites, in units of the cell vectors:
Sm1 0.0000 0.0000 0.2058  0.09
Sm2 0.0000 0.0000 0.7942  0.09
Rh1 0.5000 0.5000 0.0000  0.11
Sc1 0.5000 0.5000 0.5000  0.45

Compound: SmScRh
Source: the Alexandria database
Functional: PBE
Structure: relaxed

Values from the calculation:
SG: F-43m (216)
Crystal system: cubic
Relative energy among the computed polymorphs, kJ/mol of formula units: 44
Volume, Å³ per atom: 24.79
Total energy, Ha/atom: -0.244
Energy relative to the elements, meV/atom: -501
Total moment, μB/f.u.: 0.0

Cell: 4.7204 4.7204 4.7204 Å, 60.00 60.00 60.00°
Sites, in units of the cell vectors:
Sm1 0.5000 0.5000 0.5000
Rh1 0.2500 0.2500 0.2500
Sc1 0.0000 0.0000 0.0000

Repeat the fourth record exactly.
Compound: SmScRh
Source: the Alexandria database
Functional: PBE
Structure: relaxed

Values from the calculation:
SG: F-43m (216)
Crystal system: cubic
Relative energy among the computed polymorphs, kJ/mol of formula units: 44
Volume, Å³ per atom: 24.79
Total energy, Ha/atom: -0.244
Energy relative to the elements, meV/atom: -501
Total moment, μB/f.u.: 0.0

Cell: 4.7204 4.7204 4.7204 Å, 60.00 60.00 60.00°
Sites, in units of the cell vectors:
Sm1 0.5000 0.5000 0.5000
Rh1 0.2500 0.2500 0.2500
Sc1 0.0000 0.0000 0.0000